*a*
Entry from Alexandria via LeMat-Bulk: crystalline HfNi3I at its relaxed geometry (PBE). Values from VASP.

Quantum ESPRESSO input file:
```
&SYSTEM
  ibrav = 0, nat = 5, ntyp = 3
/
ATOMIC_SPECIES
Hf 178.49 Hf.upf
Ni 58.69 Ni.upf
I 126.90 I.upf
ATOMIC_POSITIONS angstrom
Hf 0.0000 0.0000 0.0000
Ni 0.0000 2.2824 2.2824
Ni 2.2824 0.0000 2.2824
Ni 2.2824 2.2824 0.0000
I 2.2824 2.2824 2.2824
CELL_PARAMETERS angstrom
4.5648 0.0000 0.0000
0.0000 4.5648 0.0000
0.0000 0.0000 4.5648
```

Values from the calculation:
N(E_F): 5.8 states/eV per cell
Space group: No. 221



*b*
Entry from Alexandria via LeMat-Bulk: crystalline HfNi3I at its relaxed geometry (PBE). Values from VASP.

Quantum ESPRESSO input file:
```
&SYSTEM
  ibrav = 0, nat = 5, ntyp = 3
/
ATOMIC_SPECIES
Hf 178.49 Hf.upf
Ni 58.69 Ni.upf
I 126.90 I.upf
ATOMIC_POSITIONS angstrom
Hf 0.0000 0.0000 0.0000
Ni 0.0000 0.0000 2.3603
Ni 0.0000 2.3603 0.0000
Ni 2.3603 0.0000 0.0000
I 2.3603 2.3603 2.3603
CELL_PARAMETERS angstrom
4.7205 0.0000 0.0000
0.0000 4.7205 0.0000
0.0000 0.0000 4.7205
```

Values from the calculation:
N(E_F): 5.7 states/eV per cell
Space group: No. 221



It is *a* that is most stable; the runner-up trails by 10.5 kJ/mol of atoms.